[1]
Material: ScPd2F8
Method: DFT, PBE
State: relaxed

Calculated values
Its density of states at the Fermi level is 3.18 states/eV per cell. As for the crystal system: monoclinic. Its total energy is -5.03 eV per atom. As for the uncorrected formation energy: -49.66 kcal/mol of atoms. The symmetry is C2/m (12).

extended XYZ file:
```
11
Lattice="4.6226 -3.4254 0.0000 4.6226 3.4254 0.0000 -0.5273 0.0000 4.9534" Properties=species:S:1:pos:R:3 pbc="T T T"
Sc 0.0000 0.0000 0.0000
Pd 3.1277 0.0000 3.7344
Pd 5.5903 0.0000 1.2190
F 3.1791 2.0030 3.7920
F 1.1174 0.0000 3.7693
F 5.5389 2.0030 1.1614
F 3.6271 0.0000 1.3131
F 5.0909 0.0000 3.6403
F 3.1791 -2.0030 3.7920
F 7.6006 0.0000 1.1842
F 5.5389 -2.0030 1.1614
```

***

[2]
Material: HfZrCrRe
Method: DFT, PBE
State: relaxed

Calculated values
Its density of states at the Fermi level is 13.15 states/eV per cell. As for the crystal system: cubic. Its formation energy is -9 kJ per mole of atoms. Its total energy is -10.23 eV per atom. The symmetry is F-43m (216).

extended XYZ file:
```
16
Lattice="6.5918 0.0000 0.0000 0.0000 6.5918 0.0000 0.0000 0.0000 6.5918" Properties=species:S:1:pos:R:3 pbc="T T T"
Hf 0.0000 0.0000 0.0000
Hf 0.0000 3.2959 3.2959
Hf 3.2959 0.0000 3.2959
Hf 3.2959 3.2959 0.0000
Zr 0.0000 0.0000 3.2959
Zr 0.0000 3.2959 0.0000
Zr 3.2959 0.0000 0.0000
Zr 3.2959 3.2959 3.2959
Cr 1.6480 1.6480 4.9439
Cr 1.6480 4.9439 1.6480
Cr 4.9439 1.6480 1.6480
Cr 4.9439 4.9439 4.9439
Re 1.6480 1.6480 1.6480
Re 1.6480 4.9439 4.9439
Re 4.9439 1.6480 4.9439
Re 4.9439 4.9439 1.6480
```

***

[3]
Material: La2GaSi2
Method: DFT, PBE
State: relaxed

Calculated values
Its density of states at the Fermi level is 6.17 states/eV per cell. As for the crystal system: monoclinic. Its total energy is -5.44 eV per atom. As for the uncorrected formation energy: -15.96 kcal/mol of atoms. The symmetry is C2/m (12).

extended XYZ file:
```
10
Lattice="5.6514 -2.1630 0.0000 5.6514 2.1630 0.0000 -4.7783 0.0000 9.7644" Properties=species:S:1:pos:R:3 pbc="T T T"
La -0.7183 0.0000 4.0155
La -0.8119 0.0000 8.3454
La 7.3365 0.0000 1.4191
La 7.2429 0.0000 5.7490
Ga 4.1048 0.0000 1.8583
Ga 2.4198 0.0000 7.9062
Si -4.0313 0.0000 8.8598
Si 2.5278 0.0000 3.7643
Si 3.9967 0.0000 6.0001
Si 10.5559 0.0000 0.9047
```